Entry 1:
# U4Re7P6 (PBE, optimized geometry)
data_U4Re7P6
_space_group_name_H-M_alt 'P 1'
_space_group_IT_number 1
_cell_length_a 7.069
_cell_length_b 7.069
_cell_length_c 7.069
_cell_angle_alpha 109.47
_cell_angle_beta 109.47
_cell_angle_gamma 109.47
loop_
_space_group_symop_operation_xyz
'x,y,z'
loop_
_atom_site_label
_atom_site_type_symbol
_atom_site_fract_x
_atom_site_fract_y
_atom_site_fract_z
_atom_site_occupancy
Re1 Re 0.750 0.500 0.250 1
Re2 Re 0.500 0.250 0.750 1
Re3 Re 0.500 0.750 0.250 1
Re4 Re 0.000 0.000 0.000 1
Re5 Re 0.250 0.500 0.750 1
Re6 Re 0.750 0.250 0.500 1
Re7 Re 0.250 0.750 0.500 1
U1 U 0.000 0.000 0.500 1
U2 U 0.000 0.500 0.000 1
U3 U 0.500 0.500 0.500 1
U4 U 0.500 0.000 0.000 1
P1 P 0.310 0.310 0.000 1
P2 P 0.690 0.000 0.690 1
P3 P 0.310 0.000 0.310 1
P4 P 0.000 0.310 0.310 1
P5 P 0.000 0.690 0.690 1
P6 P 0.690 0.690 0.000 1
# Space-group type   No. 229
# Magnetization   0.0 μB per formula unit
# Energy of formation from the pure elements   -0.61 eV/atom

Entry 2:
# TlH3Br (PBE, optimized geometry)
data_TlH3Br
_space_group_name_H-M_alt 'P 1'
_space_group_IT_number 1
_cell_length_a 4.898
_cell_length_b 11.244
_cell_length_c 15.782
_cell_angle_alpha 89.89
_cell_angle_beta 17.00
_cell_angle_gamma 89.82
loop_
_space_group_symop_operation_xyz
'x,y,z'
loop_
_atom_site_label
_atom_site_type_symbol
_atom_site_fract_x
_atom_site_fract_y
_atom_site_fract_z
_atom_site_occupancy
H1 H 0.440 0.477 0.035 1
H2 H 0.436 0.750 0.488 1
H3 H 0.564 0.250 0.512 1
H4 H 0.560 0.977 0.965 1
H5 H 0.440 0.023 0.035 1
H6 H 0.560 0.523 0.965 1
Br1 Br 0.932 0.750 0.749 1
Br2 Br 0.068 0.250 0.251 1
Tl1 Tl 0.058 0.750 0.187 1
Tl2 Tl 0.942 0.250 0.813 1
# Space-group type   No. 2
# Energy above the most stable polymorph in this dataset   0.0 kJ per mole of atoms
# Magnetization   0.0 μB per formula unit

Entry 3:
# TiAlNi2 (PBE, optimized geometry)
data_TiAlNi2
_space_group_name_H-M_alt 'P 1'
_space_group_IT_number 1
_cell_length_a 2.782
_cell_length_b 2.782
_cell_length_c 6.594
_cell_angle_alpha 90.00
_cell_angle_beta 90.00
_cell_angle_gamma 90.00
loop_
_space_group_symop_operation_xyz
'x,y,z'
loop_
_atom_site_label
_atom_site_type_symbol
_atom_site_fract_x
_atom_site_fract_y
_atom_site_fract_z
_atom_site_occupancy
Al1 Al 0.500 0.500 0.000 1
Ni1 Ni 0.000 0.000 0.231 1
Ni2 Ni 0.000 0.000 0.769 1
Ti1 Ti 0.500 0.500 0.500 1
# Space-group type   No. 123
# Magnetization   0.0 μB per formula unit
# Energy of formation from the pure elements   -0.52 eV/atom